(1)
## YAlCu2I (PBEsol)

Data for crystalline YAlCu2I at its relaxed geometry.

Structure (POSCAR):
```
YAlCu2I
1.0
4.787 0.000 0.000
0.000 4.787 0.000
0.000 0.000 5.532
Al I Cu Y
1 1 2 1
Direct
0.000 0.000 0.500
0.000 0.000 0.000
0.000 0.500 0.000
0.500 0.000 0.000
0.500 0.500 0.500
```

Properties
* crystal system: tetragonal
* space-group type: No. 123
* energy relative to the elements, uncorrected: 832 meV per atom

(2)
## Al2InCu (PBEsol)

Data for crystalline Al2InCu at its relaxed geometry.

Structure (POSCAR):
```
Al2InCu
1.0
4.053 0.000 0.000
0.000 4.050 0.000
-2.027 -2.025 4.068
Cu In Al
1 1 2
Direct
0.500 0.500 0.000
0.250 0.750 0.500
0.750 0.250 0.500
0.000 0.000 0.000
```

Properties
* E_form: 121.6 meV/atom
* crystal system: tetragonal
* space-group type: No. 119

(3)
## AlInCu (PBEsol)

Data for crystalline AlInCu at its relaxed geometry.

Structure (POSCAR):
```
AlInCu
1.0
-2.416 2.477 -2.603
-4.290 0.183 0.555
-1.832 3.610 1.535
In Al Cu
1 1 1
Direct
0.500 0.500 0.500
0.250 0.250 0.250
0.000 0.000 0.000
```

Properties
* E_form: 230.3 meV/atom
* crystal system: cubic
* space-group type: No. 216

(4)
## Al2InCu (PBEsol)

Data for crystalline Al2InCu at its relaxed geometry.

Structure (POSCAR):
```
Al2InCu
1.0
2.897 0.027 0.000
-0.027 2.897 0.000
0.000 0.000 7.928
Cu Al In
1 2 1
Direct
0.000 0.000 0.526
0.500 0.500 0.720
0.000 0.000 0.975
0.500 0.500 0.279
```

Properties
* E_form: 28.1 meV/atom
* crystal system: tetragonal
* space-group type: No. 99

(5)
## AlInCu2 (PBEsol)

Data for crystalline AlInCu2 at its relaxed geometry.

Structure (POSCAR):
```
AlInCu2
1.0
2.984 0.000 0.000
0.000 2.984 0.000
0.000 0.000 6.658
Cu Al In
2 1 1
Direct
0.000 0.000 0.715
0.000 0.000 0.285
0.500 0.500 0.500
0.500 0.500 0.000
```

Properties
* E_form: 2.7 meV/atom
* crystal system: tetragonal
* space-group type: No. 123

(6)
## Al3InCu (PBEsol)

Data for crystalline Al3InCu at its relaxed geometry.

Structure (POSCAR):
```
Al3InCu
1.0
-1.077 -4.638 -1.820
3.838 0.415 -3.329
3.178 -2.073 3.404
Al Cu In
3 1 1
Direct
0.000 0.500 0.000
0.500 0.000 0.000
0.000 0.000 0.500
0.500 0.500 0.500
0.000 0.000 0.000
```

Properties
* E_form: 1184.9 meV/atom
* crystal system: cubic
* space-group type: No. 221

(7)
## Al2InCu (PBEsol)

Data for crystalline Al2InCu at its relaxed geometry.

Structure (POSCAR):
```
Al2InCu
1.0
-1.093 -1.678 2.329
1.854 -4.033 -2.034
3.178 2.135 3.029
Al In Cu
2 1 1
Direct
0.000 0.500 0.000
0.000 0.000 0.500
0.500 0.500 0.500
0.500 0.000 0.000
```

Properties
* E_form: 161.3 meV/atom
* crystal system: orthorhombic
* space-group type: No. 65

(8)
## AlInCuIr2 (PBEsol)

Data for crystalline AlInCuIr2 at its relaxed geometry.

Structure (POSCAR):
```
AlInCuIr2
1.0
-3.629 -2.618 -0.172
1.141 -1.288 -4.482
2.571 -3.676 1.710
Cu Al In Ir
1 1 1 2
Direct
0.500 0.000 0.000
0.500 0.500 0.500
0.000 0.000 0.000
0.000 0.000 0.500
0.000 0.500 0.000
```

Properties
* E_form: 1570.2 meV/atom
* crystal system: tetragonal
* space-group type: No. 123